(1)
Y4Tl5Cd | PBE | relaxed

CIF file:
```
data_Y4Tl5Cd
_chemical_formula_sum 'Y8 Tl10 Cd2'
_cell_length_a 17.6209
_cell_length_b 5.0406
_cell_length_c 6.4800
_cell_angle_alpha 90.00
_cell_angle_beta 108.85
_cell_angle_gamma 90.00
_symmetry_space_group_name_H-M 'C 1 2/m 1'
_symmetry_Int_Tables_number 12
loop_
_symmetry_equiv_pos_as_xyz
'x,y,z'
'-x,-y,-z'
'-x,y,-z'
'x,-y,z'
'x+1/2,y+1/2,z'
'-x+1/2,-y+1/2,-z'
'-x+1/2,y+1/2,-z'
'x+1/2,-y+1/2,z'
loop_
_atom_site_label
_atom_site_fract_x
_atom_site_fract_y
_atom_site_fract_z
_atom_site_occupancy
Y1 0.0883 0.0000 0.3536 1
Y2 0.2001 0.5000 0.1212 1
Tl1 0.0000 0.5000 0.5000 1
Tl2 0.1035 0.0000 0.8659 1
Tl3 0.2034 0.5000 0.6170 1
Cd1 0.0000 0.5000 0.0000 1
```

Computed properties:
**Calculated volume**: 272 Å³/f.u.
**Density**: 9.084 g/cm³
**Energy relative to the elements**: -0.3165 eV/atom

***

(2)
Nd12SmPb3 | PBE | relaxed

CIF file:
```
data_Nd12SmPb3
_chemical_formula_sum 'Nd12 Sm1 Pb3'
_cell_length_a 5.0154
_cell_length_b 5.0154
_cell_length_c 20.4792
_cell_angle_alpha 90.00
_cell_angle_beta 90.00
_cell_angle_gamma 90.00
_symmetry_space_group_name_H-M 'P 4/m m m'
_symmetry_Int_Tables_number 123
_symmetry_space_group_name_Hall '-P 4 2'
loop_
_atom_site_label
_atom_site_fract_x
_atom_site_fract_y
_atom_site_fract_z
_atom_site_occupancy
Nd1 0.0000 0.0000 0.0000 1
Nd2 0.0000 0.0000 0.2434 1
Nd3 0.0000 0.0000 0.5000 1
Nd4 0.0000 0.5000 0.1216 1
Nd5 0.0000 0.5000 0.3683 1
Sm1 0.5000 0.5000 0.5000 1
Pb1 0.5000 0.5000 0.0000 1
Pb2 0.5000 0.5000 0.2446 1
```

Computed properties:
**Calculated volume**: 515 Å³/f.u.
**Density**: 8.068 g/cm³
**Energy relative to the elements**: -0.2400 eV/atom

***

(3)
Y9Ho4Mg11 | PBE | relaxed

CIF file:
```
data_Y9Ho4Mg11
_chemical_formula_sum 'Y18 Ho8 Mg22'
_cell_length_a 16.4713
_cell_length_b 22.5407
_cell_length_c 3.6087
_cell_angle_alpha 90.00
_cell_angle_beta 90.00
_cell_angle_gamma 90.00
_symmetry_space_group_name_H-M 'C m m m'
_symmetry_Int_Tables_number 65
_symmetry_space_group_name_Hall '-C 2 2'
loop_
_atom_site_label
_atom_site_fract_x
_atom_site_fract_y
_atom_site_fract_z
_atom_site_occupancy
Y1 0.0000 0.0000 0.0000 1
Y2 0.1120 0.2339 0.0000 1
Y3 0.1147 0.4068 0.0000 1
Ho1 0.1654 0.0843 0.0000 1
Mg1 0.0000 0.1327 0.5000 1
Mg2 0.0000 0.3217 0.5000 1
Mg3 0.0000 0.5000 0.5000 1
Mg4 0.2164 0.5000 0.5000 1
Mg5 0.2328 0.3209 0.5000 1
```

Computed properties:
**Calculated volume**: 670 Å³/f.u.
**Density**: 4.281 g/cm³
**Energy relative to the elements**: -0.0425 eV/atom

***

(4)
TbPa5Se6 | PBE | relaxed

CIF file:
```
data_TbPa5Se6
_chemical_formula_sum 'Tb2 Pa10 Se12'
_cell_length_a 7.1381
_cell_length_b 12.2054
_cell_length_c 6.9718
_cell_angle_alpha 90.00
_cell_angle_beta 109.40
_cell_angle_gamma 90.00
_symmetry_space_group_name_H-M 'C 1 2/m 1'
_symmetry_Int_Tables_number 12
loop_
_symmetry_equiv_pos_as_xyz
'x,y,z'
'-x,-y,-z'
'-x,y,-z'
'x,-y,z'
'x+1/2,y+1/2,z'
'-x+1/2,-y+1/2,-z'
'-x+1/2,y+1/2,-z'
'x+1/2,-y+1/2,z'
loop_
_atom_site_label
_atom_site_fract_x
_atom_site_fract_y
_atom_site_fract_z
_atom_site_occupancy
Tb1 0.0000 0.0000 0.0000 1
Pa1 0.0000 0.1671 0.5000 1
Pa2 0.0000 0.3337 0.0000 1
Pa3 0.0000 0.5000 0.5000 1
Se1 0.2476 0.0000 0.7505 1
Se2 0.2479 0.1656 0.2478 1
```

Computed properties:
**Calculated volume**: 286 Å³/f.u.
**ΔE_f (raw)**: -1.288 eV/atom
**Density**: 10.364 g/cm³

***

What did the first record say?
Y4Tl5Cd | PBE | relaxed

CIF file:
```
data_Y4Tl5Cd
_chemical_formula_sum 'Y8 Tl10 Cd2'
_cell_length_a 17.6209
_cell_length_b 5.0406
_cell_length_c 6.4800
_cell_angle_alpha 90.00
_cell_angle_beta 108.85
_cell_angle_gamma 90.00
_symmetry_space_group_name_H-M 'C 1 2/m 1'
_symmetry_Int_Tables_number 12
loop_
_symmetry_equiv_pos_as_xyz
'x,y,z'
'-x,-y,-z'
'-x,y,-z'
'x,-y,z'
'x+1/2,y+1/2,z'
'-x+1/2,-y+1/2,-z'
'-x+1/2,y+1/2,-z'
'x+1/2,-y+1/2,z'
loop_
_atom_site_label
_atom_site_fract_x
_atom_site_fract_y
_atom_site_fract_z
_atom_site_occupancy
Y1 0.0883 0.0000 0.3536 1
Y2 0.2001 0.5000 0.1212 1
Tl1 0.0000 0.5000 0.5000 1
Tl2 0.1035 0.0000 0.8659 1
Tl3 0.2034 0.5000 0.6170 1
Cd1 0.0000 0.5000 0.0000 1
```

Computed properties:
**Calculated volume**: 272 Å³/f.u.
**Density**: 9.084 g/cm³
**Energy relative to the elements**: -0.3165 eV/atom